1.
# LaPPt3 (GGA-PBE, relaxed)
# N(E_F)	6.14	states/eV/cell
# formation energy	-1.033	eV per atom
# relative energy among the computed polymorphs	0.00	eV per formula unit
data_LaPPt3
_chemical_formula_sum 'La2 P2 Pt6'
_symmetry_space_group_name_H-M 'I 4 m m'
_symmetry_Int_Tables_number 107
_symmetry_space_group_name_Hall 'I 4 -2'
_cell_length_a 4.103
_cell_length_b 4.103
_cell_length_c 11.049
_cell_angle_alpha 90.00
_cell_angle_beta 90.00
_cell_angle_gamma 90.00
loop_
_atom_site_label
_atom_site_type_symbol
_atom_site_fract_x
_atom_site_fract_y
_atom_site_fract_z
La1 La 0.000 0.000 0.000
P1 P 0.000 0.000 0.372
Pt1 Pt 0.000 0.000 0.580
Pt2 Pt 0.000 0.500 0.259

2.
# La12PPt4 (GGA-PBE, relaxed)
# N(E_F)	44.66	states/eV/cell
# formation energy	-0.466	eV per atom
data_La12PPt4
_chemical_formula_sum 'La24 P2 Pt8'
_symmetry_space_group_name_H-M 'I m -3'
_symmetry_Int_Tables_number 204
_symmetry_space_group_name_Hall '-I 2 2 3'
_cell_length_a 10.628
_cell_length_b 10.628
_cell_length_c 10.628
_cell_angle_alpha 90.00
_cell_angle_beta 90.00
_cell_angle_gamma 90.00
loop_
_atom_site_label
_atom_site_type_symbol
_atom_site_fract_x
_atom_site_fract_y
_atom_site_fract_z
La1 La 0.000 0.163 0.310
P1 P 0.000 0.000 0.000
Pt1 Pt 0.250 0.250 0.250

3.
# La3PPt (GGA-PBE, relaxed)
# N(E_F)	9.58	states/eV/cell
# formation energy	-0.442	eV per atom
# relative energy among the computed polymorphs	0.00	eV per formula unit
data_La3PPt
_chemical_formula_sum 'La3 P1 Pt1'
_symmetry_space_group_name_H-M 'P m -3 m'
_symmetry_Int_Tables_number 221
_symmetry_space_group_name_Hall '-P 4 2 3'
_cell_length_a 5.478
_cell_length_b 5.478
_cell_length_c 5.478
_cell_angle_alpha 90.00
_cell_angle_beta 90.00
_cell_angle_gamma 90.00
loop_
_atom_site_label
_atom_site_type_symbol
_atom_site_fract_x
_atom_site_fract_y
_atom_site_fract_z
La1 La 0.000 0.000 0.500
P1 P 0.000 0.000 0.000
Pt1 Pt 0.500 0.500 0.500

4.
# LaPPt (GGA-PBE, relaxed)
# N(E_F)	3.31	states/eV/cell
# formation energy	-0.580	eV per atom
data_LaPPt
_chemical_formula_sum 'La3 P3 Pt3'
_symmetry_space_group_name_H-M 'P -6 2 m'
_symmetry_Int_Tables_number 189
_symmetry_space_group_name_Hall 'P -6 -2'
_cell_length_a 7.9398
_cell_length_b 7.9398
_cell_length_c 3.7532
_cell_angle_alpha 90.00
_cell_angle_beta 90.00
_cell_angle_gamma 120.00
loop_
_atom_site_label
_atom_site_type_symbol
_atom_site_fract_x
_atom_site_fract_y
_atom_site_fract_z
La1 La 0.0000 0.2830 0.0000
P1 P 0.0000 0.5732 0.5000
Pt1 Pt 0.0000 0.0000 0.5000
Pt2 Pt 0.3333 0.6667 0.0000

5.
# La4PPt (GGA-PBE, relaxed)
# N(E_F)	32.55	states/eV/cell
# formation energy	0.225	eV per atom
data_La4PPt
_chemical_formula_sum 'La16 P4 Pt4'
_symmetry_space_group_name_H-M 'F -4 3 m'
_symmetry_Int_Tables_number 216
_symmetry_space_group_name_Hall 'F -4 2 3'
_cell_length_a 8.740
_cell_length_b 8.740
_cell_length_c 8.740
_cell_angle_alpha 90.00
_cell_angle_beta 90.00
_cell_angle_gamma 90.00
loop_
_atom_site_label
_atom_site_type_symbol
_atom_site_fract_x
_atom_site_fract_y
_atom_site_fract_z
La1 La 0.124 0.124 0.124
P1 P 0.250 0.250 0.750
Pt1 Pt 0.000 0.000 0.500

6.
# LaPPt (GGA-PBE, relaxed)
# N(E_F)	9.45	states/eV/cell
# formation energy	-0.689	eV per atom
data_LaPPt
_chemical_formula_sum 'La4 P4 Pt4'
_symmetry_space_group_name_H-M 'F m m 2'
_symmetry_Int_Tables_number 42
_symmetry_space_group_name_Hall 'F 2 -2'
_cell_length_a 4.519
_cell_length_b 5.754
_cell_length_c 10.119
_cell_angle_alpha 90.00
_cell_angle_beta 90.00
_cell_angle_gamma 90.00
loop_
_atom_site_label
_atom_site_type_symbol
_atom_site_fract_x
_atom_site_fract_y
_atom_site_fract_z
La1 La 0.000 0.000 0.000
P1 P 0.000 0.000 0.292
Pt1 Pt 0.000 0.000 0.704

7.
# La2PPt (GGA-PBE, relaxed)
# N(E_F)	4.46	states/eV/cell
# formation energy	-1.089	eV per atom
data_La2PPt
_chemical_formula_sum 'La4 P2 Pt2'
_symmetry_space_group_name_H-M 'I m m m'
_symmetry_Int_Tables_number 71
_symmetry_space_group_name_Hall '-I 2 2'
_cell_length_a 4.715
_cell_length_b 5.750
_cell_length_c 7.347
_cell_angle_alpha 90.00
_cell_angle_beta 90.00
_cell_angle_gamma 90.00
loop_
_atom_site_label
_atom_site_type_symbol
_atom_site_fract_x
_atom_site_fract_y
_atom_site_fract_z
La1 La 0.000 0.000 0.248
P1 P 0.000 0.500 0.000
Pt1 Pt 0.000 0.500 0.500

8.
# LaPPt (GGA-PBE, relaxed)
# N(E_F)	2.75	states/eV/cell
# formation energy	-1.145	eV per atom
data_LaPPt
_chemical_formula_sum 'La2 P2 Pt2'
_symmetry_space_group_name_H-M 'P m m a'
_symmetry_Int_Tables_number 51
_cell_length_a 4.335
_cell_length_b 4.077
_cell_length_c 7.403
_cell_angle_alpha 90.00
_cell_angle_beta 90.00
_cell_angle_gamma 90.00
loop_
_symmetry_equiv_pos_as_xyz
'x,y,z'
'-x,-y,-z'
'-x+1/2,-y,z'
'x+1/2,y,-z'
'x+1/2,-y,-z'
'-x+1/2,y,z'
'-x,y,-z'
'x,-y,z'
loop_
_atom_site_label
_atom_site_type_symbol
_atom_site_fract_x
_atom_site_fract_y
_atom_site_fract_z
La1 La 0.250 0.000 0.246
P1 P 0.250 0.500 0.927
Pt1 Pt 0.250 0.500 0.613

9.
# LaPPt (GGA-PBE, relaxed)
# N(E_F)	2.56	states/eV/cell
# formation energy	-1.404	eV per atom
data_LaPPt
_chemical_formula_sum 'La2 P2 Pt2'
_symmetry_space_group_name_H-M 'P 63/m m c'
_symmetry_Int_Tables_number 194
_symmetry_space_group_name_Hall '-P 6c 2c'
_cell_length_a 4.2272
_cell_length_b 4.2272
_cell_length_c 8.2686
_cell_angle_alpha 90.00
_cell_angle_beta 90.00
_cell_angle_gamma 120.00
loop_
_atom_site_label
_atom_site_type_symbol
_atom_site_fract_x
_atom_site_fract_y
_atom_site_fract_z
La1 La 0.0000 0.0000 0.0000
P1 P 0.3333 0.6667 0.2500
Pt1 Pt 0.3333 0.6667 0.7500

10.
# La2PPt (GGA-PBE, relaxed)
# N(E_F)	11.02	states/eV/cell
# formation energy	-1.230	eV per atom
data_La2PPt
_chemical_formula_sum 'La6 P3 Pt3'
_symmetry_space_group_name_H-M 'R 3 m'
_symmetry_Int_Tables_number 160
_symmetry_space_group_name_Hall 'R 3 -2"'
_cell_length_a 4.1629
_cell_length_b 4.1629
_cell_length_c 22.0325
_cell_angle_alpha 90.00
_cell_angle_beta 90.00
_cell_angle_gamma 120.00
loop_
_atom_site_label
_atom_site_type_symbol
_atom_site_fract_x
_atom_site_fract_y
_atom_site_fract_z
La1 La 0.0000 0.0000 0.0000
La2 La 0.0000 0.0000 0.1735
P1 P 0.0000 0.0000 0.5852
Pt1 Pt 0.0000 0.0000 0.4190

11.
# La2PPt3 (GGA-PBE, relaxed)
# N(E_F)	20.38	states/eV/cell
# formation energy	-1.224	eV per atom
data_La2PPt3
_chemical_formula_sum 'La16 P8 Pt24'
_symmetry_space_group_name_H-M 'F m m m'
_symmetry_Int_Tables_number 69
_symmetry_space_group_name_Hall '-F 2 2'
_cell_length_a 8.093
_cell_length_b 8.700
_cell_length_c 15.170
_cell_angle_alpha 90.00
_cell_angle_beta 90.00
_cell_angle_gamma 90.00
loop_
_atom_site_label
_atom_site_type_symbol
_atom_site_fract_x
_atom_site_fract_y
_atom_site_fract_z
La1 La 0.240 0.000 0.000
La2 La 0.250 0.250 0.250
P1 P 0.000 0.000 0.334
Pt1 Pt 0.000 0.000 0.177
Pt2 Pt 0.000 0.236 0.412

12.
# LaPuP2Pt2 (GGA-PBE, relaxed)
# N(E_F)	10.84	states/eV/cell
# formation energy	-1.214	eV per atom
data_LaPuP2Pt2
_chemical_formula_sum 'La1 Pu1 P2 Pt2'
_symmetry_space_group_name_H-M 'P -3 m 1'
_symmetry_Int_Tables_number 164
_symmetry_space_group_name_Hall '-P 3 2"'
_cell_length_a 4.1884
_cell_length_b 4.1884
_cell_length_c 8.0738
_cell_angle_alpha 90.00
_cell_angle_beta 90.00
_cell_angle_gamma 120.00
loop_
_atom_site_label
_atom_site_type_symbol
_atom_site_fract_x
_atom_site_fract_y
_atom_site_fract_z
La1 La 0.0000 0.0000 0.0000
Pu1 Pu 0.0000 0.0000 0.5000
P1 P 0.3333 0.6667 0.2576
Pt1 Pt 0.3333 0.6667 0.7396